# PmTi2SbO8 (PBE, relaxed)
# Symmetry: C2/m (12)
data_PmTi2SbO8
_cell_length_a 4.891
_cell_length_b 4.891
_cell_length_c 6.823
_cell_angle_alpha 94.68
_cell_angle_beta 94.68
_cell_angle_gamma 81.20
_space_group_name_H-M_alt 'P 1'
_space_group_IT_number 1
loop_
_space_group_symop_operation_xyz
'x,y,z'
loop_
_atom_site_label
_atom_site_type_symbol
_atom_site_fract_x
_atom_site_fract_y
_atom_site_fract_z
_atom_site_occupancy
Pm1 Pm 0.000 0.000 0.000 1
Ti1 Ti 0.433 0.433 0.758 1
Ti2 Ti 0.567 0.567 0.242 1
Sb1 Sb 0.000 0.000 0.500 1
O1 O 0.210 0.784 0.280 1
O2 O 0.216 0.790 0.720 1
O3 O 0.268 0.268 0.539 1
O4 O 0.322 0.322 0.979 1
O5 O 0.678 0.678 0.021 1
O6 O 0.732 0.732 0.461 1
O7 O 0.784 0.210 0.280 1
O8 O 0.790 0.216 0.720 1

---

# PmTlSbO6 (PBE, relaxed)
# Symmetry: P-31c (163)
data_PmTlSbO6
_cell_length_a 5.594
_cell_length_b 5.594
_cell_length_c 9.951
_cell_angle_alpha 90.00
_cell_angle_beta 90.00
_cell_angle_gamma 120.00
_space_group_name_H-M_alt 'P 1'
_space_group_IT_number 1
loop_
_space_group_symop_operation_xyz
'x,y,z'
loop_
_atom_site_label
_atom_site_type_symbol
_atom_site_fract_x
_atom_site_fract_y
_atom_site_fract_z
_atom_site_occupancy
Pm1 Pm 0.000 0.000 0.000 1
Pm2 Pm 0.000 0.000 0.500 1
Tl1 Tl 0.333 0.667 0.250 1
Tl2 Tl 0.667 0.333 0.750 1
Sb1 Sb 0.333 0.667 0.750 1
Sb2 Sb 0.667 0.333 0.250 1
O1 O 0.037 0.369 0.636 1
O2 O 0.037 0.668 0.864 1
O3 O 0.332 0.369 0.864 1
O4 O 0.332 0.963 0.636 1
O5 O 0.369 0.037 0.136 1
O6 O 0.369 0.332 0.364 1
O7 O 0.631 0.668 0.636 1
O8 O 0.631 0.963 0.864 1
O9 O 0.668 0.037 0.364 1
O10 O 0.668 0.631 0.136 1
O11 O 0.963 0.332 0.136 1
O12 O 0.963 0.631 0.364 1

---

# Pm2Tl2SbO6 (PBE, relaxed)
# Symmetry: C2/m (12)
data_Pm2Tl2SbO6
_cell_length_a 6.097
_cell_length_b 6.097
_cell_length_c 6.854
_cell_angle_alpha 97.60
_cell_angle_beta 97.60
_cell_angle_gamma 119.82
_space_group_name_H-M_alt 'P 1'
_space_group_IT_number 1
loop_
_space_group_symop_operation_xyz
'x,y,z'
loop_
_atom_site_label
_atom_site_type_symbol
_atom_site_fract_x
_atom_site_fract_y
_atom_site_fract_z
_atom_site_occupancy
Pm1 Pm 0.166 0.834 0.000 1
Pm2 Pm 0.834 0.166 0.000 1
Tl1 Tl 0.339 0.661 0.500 1
Tl2 Tl 0.661 0.339 0.500 1
Sb1 Sb 0.500 0.500 0.000 1
O1 O 0.147 0.454 0.837 1
O2 O 0.248 0.248 0.168 1
O3 O 0.454 0.147 0.837 1
O4 O 0.546 0.853 0.163 1
O5 O 0.752 0.752 0.832 1
O6 O 0.853 0.546 0.163 1

---

# PmTl2SbO6 (PBE, relaxed)
# Symmetry: R3 (146)
data_PmTl2SbO6
_cell_length_a 6.283
_cell_length_b 6.283
_cell_length_c 6.283
_cell_angle_alpha 54.96
_cell_angle_beta 54.96
_cell_angle_gamma 54.96
_space_group_name_H-M_alt 'P 1'
_space_group_IT_number 1
loop_
_space_group_symop_operation_xyz
'x,y,z'
loop_
_atom_site_label
_atom_site_type_symbol
_atom_site_fract_x
_atom_site_fract_y
_atom_site_fract_z
_atom_site_occupancy
Pm1 Pm 0.000 0.000 0.000 1
Tl1 Tl 0.256 0.256 0.256 1
Tl2 Tl 0.792 0.792 0.792 1
Sb1 Sb 0.491 0.491 0.491 1
O1 O 0.139 0.709 0.387 1
O2 O 0.232 0.675 0.773 1
O3 O 0.387 0.139 0.709 1
O4 O 0.675 0.773 0.232 1
O5 O 0.709 0.387 0.139 1
O6 O 0.773 0.232 0.675 1

---

# PmTl3Sb2O9 (PBE, relaxed)
# Symmetry: P-3m1 (164)
data_PmTl3Sb2O9
_cell_length_a 5.904
_cell_length_b 5.904
_cell_length_c 7.422
_cell_angle_alpha 90.00
_cell_angle_beta 90.00
_cell_angle_gamma 120.00
_space_group_name_H-M_alt 'P 1'
_space_group_IT_number 1
loop_
_space_group_symop_operation_xyz
'x,y,z'
loop_
_atom_site_label
_atom_site_type_symbol
_atom_site_fract_x
_atom_site_fract_y
_atom_site_fract_z
_atom_site_occupancy
Pm1 Pm 0.000 0.000 0.000 1
Tl1 Tl 0.000 0.000 0.500 1
Tl2 Tl 0.333 0.667 0.172 1
Tl3 Tl 0.667 0.333 0.828 1
Sb1 Sb 0.333 0.667 0.657 1
Sb2 Sb 0.667 0.333 0.343 1
O1 O 0.000 0.500 0.500 1
O2 O 0.172 0.344 0.801 1
O3 O 0.172 0.828 0.801 1
O4 O 0.344 0.172 0.199 1
O5 O 0.500 0.000 0.500 1
O6 O 0.500 0.500 0.500 1
O7 O 0.656 0.828 0.801 1
O8 O 0.828 0.172 0.199 1
O9 O 0.828 0.656 0.199 1

---

# Pm2TlSbO8 (PBE, relaxed)
# Symmetry: P2/m (10)
data_Pm2TlSbO8
_cell_length_a 4.379
_cell_length_b 7.693
_cell_length_c 5.172
_cell_angle_alpha 90.00
_cell_angle_beta 96.05
_cell_angle_gamma 90.00
_space_group_name_H-M_alt 'P 1'
_space_group_IT_number 1
loop_
_space_group_symop_operation_xyz
'x,y,z'
loop_
_atom_site_label
_atom_site_type_symbol
_atom_site_fract_x
_atom_site_fract_y
_atom_site_fract_z
_atom_site_occupancy
Pm1 Pm 0.000 0.245 0.000 1
Pm2 Pm 0.000 0.755 0.000 1
Tl1 Tl 0.500 0.500 0.500 1
Sb1 Sb 0.500 0.000 0.500 1
O1 O 0.085 0.000 0.299 1
O2 O 0.120 0.500 0.239 1
O3 O 0.440 0.201 0.747 1
O4 O 0.440 0.799 0.747 1
O5 O 0.560 0.201 0.253 1
O6 O 0.560 0.799 0.253 1
O7 O 0.880 0.500 0.761 1
O8 O 0.915 0.000 0.701 1

---

no.,calculated total energy (eV per cell),total magnetic moment (μB per cell)
1,-95.5,0.0
2,-110.8,2.2
3,-69.4,0.0
4,-59.2,0.0
5,-84.8,0.0
6,-77.4,2.0